No. 1
Pa8Tc3Ge2 | Alexandria | PBE-GGA | relaxed; DOS(E_F) = 24.14 states/eV/cell; energy of formation = 0.081 eV per atom; total moment = 0.00 μB/f.u.; SG = C2/m (12); VASP energy = -115.3 eV for the cell shown
1.0
6.358 -4.697 0.000
6.358 4.697 0.000
-0.521 0.000 5.333
Pa Tc Ge
8 3 2
direct
0.073 0.643 0.388 Pa
0.115 0.115 0.021 Pa
0.357 0.927 0.612 Pa
0.375 0.375 0.911 Pa
0.625 0.625 0.089 Pa
0.643 0.073 0.388 Pa
0.885 0.885 0.979 Pa
0.927 0.357 0.612 Pa
0.000 0.000 0.500 Tc
0.286 0.714 0.000 Tc
0.714 0.286 0.000 Tc
0.284 0.284 0.405 Ge
0.716 0.716 0.595 Ge

***

No. 2
PaTc2Ge3 | Alexandria | PBE-GGA | relaxed; DOS(E_F) = 12.15 states/eV/cell; energy of formation = -0.228 eV per atom; total moment = 0.00 μB/f.u.; SG = C2/m (12); energy above the lowest structure with this stoichiometry = 0.000 eV/atom; VASP energy = -136.4 eV for the cell shown
1.0
8.637 -2.118 0.000
8.637 2.118 0.000
-4.000 0.000 8.690
Pa Tc Ge
3 6 9
direct
0.000 0.000 0.000 Pa
0.171 0.171 0.680 Pa
0.829 0.829 0.320 Pa
0.158 0.158 0.059 Tc
0.370 0.370 0.552 Tc
0.464 0.464 0.182 Tc
0.536 0.536 0.818 Tc
0.630 0.630 0.448 Tc
0.842 0.842 0.941 Tc
0.024 0.024 0.341 Ge
0.210 0.210 0.372 Ge
0.308 0.308 0.073 Ge
0.376 0.376 0.827 Ge
0.500 0.500 0.500 Ge
0.624 0.624 0.173 Ge
0.692 0.692 0.927 Ge
0.790 0.790 0.628 Ge
0.976 0.976 0.659 Ge

***

No. 3
Pa5Tc2Ge2 | Alexandria | PBE-GGA | relaxed; DOS(E_F) = 25.93 states/eV/cell; energy of formation = -0.268 eV per atom; total moment = 0.00 μB/f.u.; SG = Cmce (64); VASP energy = -159.7 eV for the cell shown
1.0
7.268 -3.643 0.000
7.268 3.643 0.000
0.000 0.000 7.870
Pa Tc Ge
10 4 4
direct
0.000 0.000 0.000 Pa
0.032 0.710 0.672 Pa
0.210 0.532 0.172 Pa
0.290 0.968 0.672 Pa
0.468 0.790 0.172 Pa
0.500 0.500 0.500 Pa
0.532 0.210 0.828 Pa
0.710 0.032 0.328 Pa
0.790 0.468 0.828 Pa
0.968 0.290 0.328 Pa
0.156 0.844 0.377 Tc
0.344 0.656 0.877 Tc
0.656 0.344 0.123 Tc
0.844 0.156 0.623 Tc
0.207 0.207 0.000 Ge
0.293 0.293 0.500 Ge
0.707 0.707 0.500 Ge
0.793 0.793 0.000 Ge

***

No. 4
Pa3TcGe3 | Alexandria | PBE-GGA | relaxed; DOS(E_F) = 20.65 states/eV/cell; energy of formation = -0.440 eV per atom; total moment = 0.00 μB/f.u.; SG = C2/m (12); VASP energy = -111.6 eV for the cell shown
1.0
5.339 -2.046 0.000
5.339 2.046 0.000
-3.413 0.000 13.748
Pa Tc Ge
6 2 6
direct
0.038 0.038 0.380 Pa
0.077 0.077 0.923 Pa
0.272 0.272 0.237 Pa
0.728 0.728 0.763 Pa
0.923 0.923 0.077 Pa
0.962 0.962 0.620 Pa
0.246 0.246 0.628 Tc
0.754 0.754 0.372 Tc
0.351 0.351 0.923 Ge
0.366 0.366 0.467 Ge
0.453 0.453 0.770 Ge
0.547 0.547 0.230 Ge
0.634 0.634 0.533 Ge
0.649 0.649 0.077 Ge

***

No. 5
Pa12TcGe6 | Alexandria | PBE-GGA | relaxed; DOS(E_F) = 35.65 states/eV/cell; energy of formation = -0.172 eV per atom; total moment = 0.00 μB/f.u.; SG = R-3 (148); VASP energy = -155.3 eV for the cell shown
1.0
5.363 3.096 4.198
-5.363 3.096 4.198
0.000 -6.192 4.198
Pa Tc Ge
12 1 6
direct
0.018 0.301 0.929 Pa
0.071 0.982 0.699 Pa
0.124 0.349 0.452 Pa
0.301 0.929 0.018 Pa
0.349 0.452 0.124 Pa
0.452 0.124 0.349 Pa
0.548 0.876 0.651 Pa
0.651 0.548 0.876 Pa
0.699 0.071 0.982 Pa
0.876 0.651 0.548 Pa
0.929 0.018 0.301 Pa
0.982 0.699 0.071 Pa
0.500 0.500 0.500 Tc
0.239 0.758 0.389 Ge
0.242 0.611 0.761 Ge
0.389 0.239 0.758 Ge
0.611 0.761 0.242 Ge
0.758 0.389 0.239 Ge
0.761 0.242 0.611 Ge

***

No. 6
Pa3Tc2Ge2 | Alexandria | PBE-GGA | relaxed; DOS(E_F) = 34.57 states/eV/cell; energy of formation = -0.445 eV per atom; total moment = 0.00 μB/f.u.; SG = Pbcm (57); VASP energy = -246.3 eV for the cell shown
1.0
5.543 0.000 0.000
0.000 7.861 0.000
0.000 0.000 13.184
Pa Tc Ge
12 8 8
direct
0.112 0.223 0.250 Pa
0.112 0.277 0.750 Pa
0.340 0.597 0.095 Pa
0.340 0.597 0.405 Pa
0.340 0.903 0.595 Pa
0.340 0.903 0.905 Pa
0.660 0.097 0.095 Pa
0.660 0.097 0.405 Pa
0.660 0.403 0.595 Pa
0.660 0.403 0.905 Pa
0.888 0.723 0.250 Pa
0.888 0.777 0.750 Pa
0.138 0.543 0.594 Tc
0.138 0.543 0.906 Tc
0.138 0.957 0.094 Tc
0.138 0.957 0.406 Tc
0.862 0.043 0.594 Tc
0.862 0.043 0.906 Tc
0.862 0.457 0.094 Tc
0.862 0.457 0.406 Tc
0.177 0.250 0.000 Ge
0.177 0.250 0.500 Ge
0.401 0.620 0.750 Ge
0.401 0.880 0.250 Ge
0.599 0.120 0.750 Ge
0.599 0.380 0.250 Ge
0.823 0.750 0.000 Ge
0.823 0.750 0.500 Ge

***

No. 7
PaTiTcGe | Alexandria | PBE-GGA | relaxed; DOS(E_F) = 9.33 states/eV/cell; energy of formation = -0.288 eV per atom; total moment = 0.00 μB/f.u.; SG = F-43m (216); VASP energy = -134.1 eV for the cell shown
1.0
6.535 0.000 0.000
0.000 6.535 0.000
0.000 0.000 6.535
Pa Ti Tc Ge
4 4 4 4
direct
0.000 0.000 0.000 Pa
0.000 0.500 0.500 Pa
0.500 0.000 0.500 Pa
0.500 0.500 0.000 Pa
0.250 0.250 0.250 Ti
0.250 0.750 0.750 Ti
0.750 0.250 0.750 Ti
0.750 0.750 0.250 Ti
0.250 0.250 0.750 Tc
0.250 0.750 0.250 Tc
0.750 0.250 0.250 Tc
0.750 0.750 0.750 Tc
0.000 0.000 0.500 Ge
0.000 0.500 0.000 Ge
0.500 0.000 0.000 Ge
0.500 0.500 0.500 Ge

***

No. 8
PaTiTcGe2 | Alexandria | PBE-GGA | relaxed; DOS(E_F) = 11.42 states/eV/cell; energy of formation = -0.502 eV per atom; total moment = 0.00 μB/f.u.; SG = I-4m2 (119); VASP energy = -79.0 eV for the cell shown
1.0
4.000 0.000 0.000
0.000 4.000 0.000
0.000 0.000 11.439
Pa Ti Tc Ge
2 2 2 4
direct
0.000 0.000 0.000 Pa
0.500 0.500 0.500 Pa
0.000 0.500 0.750 Ti
0.500 0.000 0.250 Ti
0.000 0.500 0.250 Tc
0.500 0.000 0.750 Tc
0.000 0.000 0.391 Ge
0.000 0.000 0.609 Ge
0.500 0.500 0.109 Ge
0.500 0.500 0.891 Ge

***

No. 9
PaVTcGe | Alexandria | PBE-GGA | relaxed; DOS(E_F) = 17.52 states/eV/cell; energy of formation = 0.120 eV per atom; total moment = 1.29 μB/f.u.; SG = F-43m (216); VASP energy = -132.5 eV for the cell shown
1.0
6.543 0.000 0.000
0.000 6.543 0.000
0.000 0.000 6.543
Pa V Tc Ge
4 4 4 4
direct
0.000 0.000 0.000 Pa
0.000 0.500 0.500 Pa
0.500 0.000 0.500 Pa
0.500 0.500 0.000 Pa
0.250 0.250 0.750 V
0.250 0.750 0.250 V
0.750 0.250 0.250 V
0.750 0.750 0.750 V
0.000 0.000 0.500 Tc
0.000 0.500 0.000 Tc
0.500 0.000 0.000 Tc
0.500 0.500 0.500 Tc
0.250 0.250 0.250 Ge
0.250 0.750 0.750 Ge
0.750 0.250 0.750 Ge
0.750 0.750 0.250 Ge

***

No. 10
PaTcGeW | Alexandria | PBE-GGA | relaxed; DOS(E_F) = 27.43 states/eV/cell; energy of formation = 0.129 eV per atom; total moment = 0.00 μB/f.u.; SG = F-43m (216); VASP energy = -147.7 eV for the cell shown
1.0
6.579 0.000 0.000
0.000 6.579 0.000
0.000 0.000 6.579
Pa Tc Ge W
4 4 4 4
direct
0.000 0.000 0.000 Pa
0.000 0.500 0.500 Pa
0.500 0.000 0.500 Pa
0.500 0.500 0.000 Pa
0.250 0.250 0.750 Tc
0.250 0.750 0.250 Tc
0.750 0.250 0.250 Tc
0.750 0.750 0.750 Tc
0.000 0.000 0.500 Ge
0.000 0.500 0.000 Ge
0.500 0.000 0.000 Ge
0.500 0.500 0.500 Ge
0.250 0.250 0.250 W
0.250 0.750 0.750 W
0.750 0.250 0.750 W
0.750 0.750 0.250 W

***

No. 11
PaGe2Te | Alexandria | PBE-GGA | relaxed; DOS(E_F) = 17.60 states/eV/cell; total moment = 0.72 μB/f.u.; raw formation energy = 3.12 kcal/mol of atoms; SG = R-3m (166); energy above the lowest structure with this stoichiometry = 0.476 eV/atom; VASP energy = -64.0 eV for the cell shown
1.0
4.930 0.000 0.000
-2.465 4.270 0.000
0.000 0.000 13.369
Pa Ge Te
3 6 3
direct
0.000 0.000 0.000 Pa
0.333 0.667 0.667 Pa
0.667 0.333 0.333 Pa
0.000 0.000 0.228 Ge
0.000 0.000 0.772 Ge
0.333 0.667 0.439 Ge
0.333 0.667 0.895 Ge
0.667 0.333 0.105 Ge
0.667 0.333 0.561 Ge
0.000 0.000 0.500 Te
0.333 0.667 0.167 Te
0.667 0.333 0.833 Te

***

No. 12
PaGe3Te6 | Alexandria | PBE-GGA | relaxed; DOS(E_F) = 7.09 states/eV/cell; total moment = 0.00 μB/f.u.; raw formation energy = -7.19 kcal/mol of atoms; SG = P2_1/m (11); VASP energy = -90.6 eV for the cell shown
1.0
12.598 0.000 0.000
0.000 4.098 0.000
-4.377 0.000 12.041
Pa Ge Te
2 6 12
direct
0.200 0.250 0.043 Pa
0.800 0.750 0.957 Pa
0.056 0.750 0.316 Ge
0.350 0.250 0.470 Ge
0.373 0.750 0.829 Ge
0.627 0.250 0.171 Ge
0.650 0.750 0.530 Ge
0.944 0.250 0.684 Ge
0.031 0.750 0.897 Te
0.125 0.250 0.471 Te
0.217 0.250 0.794 Te
0.238 0.750 0.237 Te
0.389 0.750 0.061 Te
0.431 0.750 0.622 Te
0.569 0.250 0.378 Te
0.611 0.250 0.939 Te
0.762 0.250 0.763 Te
0.783 0.750 0.206 Te
0.875 0.750 0.529 Te
0.969 0.250 0.103 Te

***

No. 13
Pa2GeTe | Alexandria | PBE-GGA | relaxed; DOS(E_F) = 7.22 states/eV/cell; total moment = 0.06 μB/f.u.; raw formation energy = -11.61 kcal/mol of atoms; SG = P4/mmm (123); energy above the lowest structure with this stoichiometry = 0.084 eV/atom; VASP energy = -28.8 eV for the cell shown
1.0
3.612 0.000 0.000
0.000 3.612 0.000
0.000 0.000 7.303
Pa Ge Te
2 1 1
direct
0.000 0.000 0.230 Pa
0.000 0.000 0.770 Pa
0.500 0.500 0.000 Ge
0.500 0.500 0.500 Te

***

No. 14
Pa2GeTe2 | Alexandria | PBE-GGA | relaxed; DOS(E_F) = 5.69 states/eV/cell; total moment = 0.00 μB/f.u.; raw formation energy = -15.18 kcal/mol of atoms; SG = P-3m1 (164); VASP energy = -33.2 eV for the cell shown
1.0
4.195 0.000 0.000
-2.097 3.633 0.000
0.000 0.000 10.851
Pa Ge Te
2 1 2
direct
0.333 0.667 0.350 Pa
0.667 0.333 0.650 Pa
0.000 0.000 0.500 Ge
0.333 0.667 0.823 Te
0.667 0.333 0.177 Te

***

No. 15
Pa2GeTe | Alexandria | PBE-GGA | relaxed; DOS(E_F) = 17.43 states/eV/cell; total moment = 0.00 μB/f.u.; raw formation energy = -13.56 kcal/mol of atoms; SG = R-3m (166); energy above the lowest structure with this stoichiometry = 0.000 eV/atom; VASP energy = -87.3 eV for the cell shown
1.0
4.213 0.000 0.000
-2.106 3.648 0.000
0.000 0.000 21.009
Pa Ge Te
6 3 3
direct
0.000 0.000 0.241 Pa
0.000 0.000 0.759 Pa
0.333 0.667 0.426 Pa
0.333 0.667 0.908 Pa
0.667 0.333 0.092 Pa
0.667 0.333 0.574 Pa
0.000 0.000 0.500 Ge
0.333 0.667 0.167 Ge
0.667 0.333 0.833 Ge
0.000 0.000 0.000 Te
0.333 0.667 0.667 Te
0.667 0.333 0.333 Te

***

No. 16
Pa5GeTe5 | Alexandria | PBE-GGA | relaxed; DOS(E_F) = 18.80 states/eV/cell; total moment = 0.77 μB/f.u.; raw formation energy = -15.60 kcal/mol of atoms; SG = P-1 (2); VASP energy = -75.2 eV for the cell shown
1.0
6.033 0.000 0.000
-3.011 6.700 0.000
-0.010 -2.762 8.089
Pa Ge Te
5 1 5
direct
0.000 0.000 0.000 Pa
0.331 0.663 0.148 Pa
0.340 0.681 0.685 Pa
0.660 0.319 0.315 Pa
0.669 0.337 0.852 Pa
0.500 0.000 0.000 Ge
0.150 0.299 0.801 Te
0.165 0.329 0.345 Te
0.500 0.000 0.500 Te
0.835 0.671 0.655 Te
0.850 0.701 0.199 Te

***

No. 17
Pa4GeTe4 | Alexandria | PBE-GGA | relaxed; DOS(E_F) = 15.95 states/eV/cell; total moment = 2.24 μB/f.u.; raw formation energy = -16.31 kcal/mol of atoms; SG = C2/m (12); VASP energy = -61.5 eV for the cell shown
1.0
7.111 -2.096 0.000
7.111 2.096 0.000
-5.404 0.000 9.074
Pa Ge Te
4 1 4
direct
0.097 0.097 0.415 Pa
0.307 0.307 0.214 Pa
0.693 0.693 0.786 Pa
0.903 0.903 0.585 Pa
0.500 0.500 0.500 Ge
0.096 0.096 0.905 Te
0.321 0.321 0.720 Te
0.679 0.679 0.280 Te
0.904 0.904 0.095 Te

***

No. 18
PaGeTe | Alexandria | PBE-GGA | relaxed; DOS(E_F) = 5.38 states/eV/cell; total moment = 0.00 μB/f.u.; raw formation energy = -2.43 kcal/mol of atoms; SG = P3m1 (156); energy above the lowest structure with this stoichiometry = 0.644 eV/atom; VASP energy = -17.6 eV for the cell shown
1.0
4.878 0.000 0.000
-2.439 4.225 0.000
0.000 0.000 3.756
Pa Ge Te
1 1 1
direct
0.000 0.000 0.000 Pa
0.333 0.667 0.996 Ge
0.667 0.333 0.499 Te

***

No. 19
Pa2GeTe4 | Alexandria | PBE-GGA | relaxed; DOS(E_F) = 16.10 states/eV/cell; total moment = 0.88 μB/f.u.; raw formation energy = -10.93 kcal/mol of atoms; SG = Cmmm (65); VASP energy = -79.0 eV for the cell shown
1.0
8.123 0.000 0.000
0.000 9.487 0.000
0.000 0.000 5.005
Pa Ge Te
4 2 8
direct
0.000 0.215 0.000 Pa
0.000 0.785 0.000 Pa
0.500 0.285 0.000 Pa
0.500 0.715 0.000 Pa
0.000 0.000 0.500 Ge
0.500 0.500 0.500 Ge
0.205 0.500 0.000 Te
0.250 0.250 0.500 Te
0.250 0.750 0.500 Te
0.295 0.000 0.000 Te
0.705 0.000 0.000 Te
0.750 0.250 0.500 Te
0.750 0.750 0.500 Te
0.795 0.500 0.000 Te

***

No. 20
PaGeTe4 | Alexandria | PBE-GGA | relaxed; DOS(E_F) = 3.44 states/eV/cell; total moment = 0.00 μB/f.u.; raw formation energy = -9.68 kcal/mol of atoms; SG = P-1 (2); VASP energy = -58.4 eV for the cell shown
1.0
7.069 0.000 0.000
-0.441 7.235 0.000
-3.305 -3.604 7.543
Pa Ge Te
2 2 8
direct
0.120 0.370 0.240 Pa
0.880 0.630 0.760 Pa
0.359 0.108 0.717 Ge
0.641 0.892 0.283 Ge
0.075 0.307 0.557 Te
0.207 0.039 0.939 Te
0.268 0.600 0.061 Te
0.481 0.748 0.556 Te
0.519 0.252 0.444 Te
0.732 0.400 0.939 Te
0.793 0.961 0.061 Te
0.925 0.693 0.443 Te

***

No. 21
Pa2GeTe | Alexandria | PBE-GGA | relaxed; DOS(E_F) = 28.39 states/eV/cell; total moment = 0.01 μB/f.u.; raw formation energy = -10.54 kcal/mol of atoms; SG = Fm-3m (225); energy above the lowest structure with this stoichiometry = 0.131 eV/atom; VASP energy = -114.3 eV for the cell shown
1.0
7.255 0.000 0.000
0.000 7.255 0.000
0.000 0.000 7.255
Pa Ge Te
8 4 4
direct
0.250 0.250 0.250 Pa
0.250 0.250 0.750 Pa
0.250 0.750 0.250 Pa
0.250 0.750 0.750 Pa
0.750 0.250 0.250 Pa
0.750 0.250 0.750 Pa
0.750 0.750 0.250 Pa
0.750 0.750 0.750 Pa
0.000 0.000 0.000 Ge
0.000 0.500 0.500 Ge
0.500 0.000 0.500 Ge
0.500 0.500 0.000 Ge
0.000 0.000 0.500 Te
0.000 0.500 0.000 Te
0.500 0.000 0.000 Te
0.500 0.500 0.500 Te

***

No. 22
Pa5GeTe4 | Alexandria | PBE-GGA | relaxed; DOS(E_F) = 20.85 states/eV/cell; total moment = 3.17 μB/f.u.; raw formation energy = -13.15 kcal/mol of atoms; SG = P-1 (2); VASP energy = -70.4 eV for the cell shown
1.0
4.186 0.000 0.000
0.000 4.404 0.000
2.066 1.153 15.266
Pa Ge Te
5 1 4
direct
0.000 0.000 0.000 Pa
0.205 0.157 0.586 Pa
0.408 0.415 0.185 Pa
0.592 0.585 0.815 Pa
0.795 0.843 0.414 Pa
0.500 0.500 0.000 Ge
0.102 0.090 0.795 Te
0.307 0.349 0.389 Te
0.693 0.651 0.611 Te
0.898 0.910 0.205 Te